# 1
This record from Alexandria describes a relaxed structure of Th3Co2Ge4. The functional is PBE.

formation energy = -615 kJ/mol of formula units
D(E_F) = 5.327 states/eV/cell

Cell: 4.244 5.887 8.194 Å, 100.14 90.00 111.13°
Atoms (fractional coordinates):
Th: 0.659 0.318 0.656
Th: 0.000 0.000 0.000
Th: 0.341 0.682 0.344
Co: 0.594 0.188 0.275
Co: 0.406 0.812 0.725
Ge: 0.724 0.448 0.079
Ge: 0.276 0.552 0.921
Ge: 0.936 0.873 0.618
Ge: 0.064 0.127 0.382

# 2
This record from Alexandria describes a relaxed structure of GaCuF2. The functional is PBE.

D(E_F) = 0.000 states/eV/cell
offset from the most stable computed form = 316 meV/atom

Cell: 7.395 7.395 7.395 Å, 25.01 25.01 25.01°
Atoms (fractional coordinates):
Cu: 0.000 0.000 0.000
Ga: 0.500 0.500 0.500
F: 0.915 0.915 0.915
F: 0.085 0.085 0.085

# 3
This record from Alexandria describes a relaxed structure of NaMnCuBr6. The functional is PBE.

D(E_F) = 7.838 states/eV/cell
E_tot = -30.74 eV for the cell shown

Cell: 6.554 6.671 6.671 Å, 120.00 90.00 90.00°
Atoms (fractional coordinates):
Na: 0.000 0.333 0.667
Mn: 0.500 0.000 0.000
Cu: 0.500 0.667 0.333
Br: 0.723 0.707 0.675
Br: 0.723 0.325 0.032
Br: 0.723 0.968 0.293
Br: 0.277 0.325 0.293
Br: 0.277 0.707 0.032
Br: 0.277 0.968 0.675

The evaluated spin magnetization for the records listed, in turn: 0.0, 0.0, 3.0 μB per cell.